Record 1
## SmTlAgI5 (PBE-GGA)

Data for a relaxed SmTlAgI5 crystal.

Structure (extended XYZ):
```
16
Lattice="-1.969 0.126 8.270 7.707 -3.471 -0.920 1.923 11.059 -2.304" Properties=species:S:1:pos:R:3 pbc="T T T"
Tl 3.110 7.068 3.088
Tl 4.551 0.645 1.958
I -0.113 4.083 4.621
I 6.398 7.972 2.220
I 6.749 7.419 -2.136
I 7.774 3.630 0.426
I 7.311 -0.381 -0.663
I 0.350 8.094 5.709
I 4.137 2.925 4.606
I 0.912 0.295 7.183
I 1.263 -0.258 2.826
I 3.524 4.788 0.440
Sm 0.000 0.000 0.000
Sm 0.961 5.530 -1.152
Ag 6.154 5.936 0.197
Ag 1.507 1.777 4.850
```

* space-group type: C2/c
* DOS(E_F): 0.00 states/eV/cell
* ΔE_f (raw): -0.90 eV/atom


Record 2
## Sr2PuPO8 (PBE-GGA)

Data for a relaxed Sr2PuPO8 crystal.

Structure (extended XYZ):
```
12
Lattice="-2.966 3.910 2.650 -2.036 -5.166 -0.526 2.539 -1.517 5.080" Properties=species:S:1:pos:R:3 pbc="T T T"
Pu 1.269 -0.759 2.540
P 0.000 0.000 0.000
Sr -2.358 0.707 2.188
Sr -0.105 -3.480 5.016
O 0.961 -0.872 4.851
O -1.074 -2.901 3.079
O -1.389 0.128 4.126
O -0.748 1.380 6.377
O -1.715 -4.153 0.827
O -1.920 -1.595 6.074
O -0.543 -1.178 1.130
O -3.424 -1.901 2.354
```

* space-group type: P-3m1
* DOS(E_F): 16.53 states/eV/cell
* ΔE_f (raw): -1.88 eV/atom


Record 3
## CaB6 (PBE-GGA)

Data for a relaxed CaB6 crystal.

Structure (extended XYZ):
```
7
Lattice="-3.603 -1.526 -1.383 -1.374 -0.294 3.905 -1.534 3.848 -0.250" Properties=species:S:1:pos:R:3 pbc="T T T"
Ca 0.000 0.000 0.000
B -2.180 1.469 1.548
B -4.331 0.559 0.723
B -2.845 1.102 -0.029
B -3.713 2.162 1.061
B -2.798 -0.134 1.211
B -3.666 0.926 2.301
```

* calculated formation energy: -0.408 eV per atom
* energy above the most stable polymorph in this dataset: 0 meV per atom
* space-group type: Pm-3m
* DOS(E_F): 0.72 states/eV/cell


Record 4
## CsCeHS3 (PBE-GGA)

Data for a relaxed CsCeHS3 crystal.

Structure (extended XYZ):
```
12
Lattice="4.306 0.000 0.000 0.000 8.953 -1.166 0.000 -3.406 9.968" Properties=species:S:1:pos:R:3 pbc="T T T"
H 3.229 7.485 2.361
H 1.076 -1.938 6.441
S 1.076 -1.706 7.784
S 1.076 4.843 3.494
S 3.229 3.553 0.548
S 3.229 0.704 5.307
S 3.229 7.253 1.017
S 1.076 1.994 8.253
Ce 3.229 0.277 7.748
Ce 1.076 5.270 1.053
Cs 1.076 1.291 2.676
Cs 3.229 4.256 6.126
```

* space-group type: P2_1/m
* electronic total energy: -4.9778 eV per atom


Record 5
## LiSb2Pt (PBE-GGA)

Data for a relaxed LiSb2Pt crystal.

Structure (extended XYZ):
```
4
Lattice="4.915 0.000 0.000 2.457 4.256 0.000 2.457 1.419 4.013" Properties=species:S:1:pos:R:3 pbc="T T T"
Li 4.915 2.837 2.006
Pt 7.372 4.256 3.010
Sb 2.457 1.419 1.003
Sb 0.000 0.000 0.000
```

* energy above the most stable polymorph in this dataset: 470 meV per atom
* space-group type: F-43m
* DOS(E_F): 1.86 states/eV/cell
* ΔE_f (raw): -0.07 eV/atom


Record 6
## Sn3I3O (PBE-GGA)

Data for a relaxed Sn3I3O crystal.

Structure (extended XYZ):
```
14
Lattice="-0.010 -0.273 -6.394 -5.481 -7.822 0.343 -5.769 6.886 -0.285" Properties=species:S:1:pos:R:3 pbc="T T T"
Sn -6.368 3.929 -4.962
Sn -7.101 0.849 -4.829
Sn -4.159 -2.058 -1.507
Sn -8.030 -2.815 -1.468
Sn -3.231 1.606 -4.868
Sn -4.892 -5.138 -1.374
O -5.289 2.055 -4.884
O -5.971 -3.264 -1.452
I -7.088 0.278 -1.602
I -2.815 1.751 -1.672
I -4.172 -1.487 -4.734
I -6.321 4.581 -1.787
I -4.939 -5.790 -4.549
I -8.445 -2.960 -4.664
```

* space-group type: P2_1/m
* DOS(E_F): 1.95 states/eV/cell
* ΔE_f (raw): -0.53 eV/atom


Record 7
## Ti2CdGa (PBE-GGA)

Data for a relaxed Ti2CdGa crystal.

Structure (extended XYZ):
```
4
Lattice="2.849 0.000 0.000 0.000 2.849 0.000 0.000 0.000 8.473" Properties=species:S:1:pos:R:3 pbc="T T T"
Ga 1.425 1.425 0.000
Ti 0.000 0.000 6.583
Ti 0.000 0.000 1.890
Cd 1.425 1.425 4.236
```

* calculated formation energy: -0.245 eV per atom
* space-group type: P4/mmm
* DOS(E_F): 4.82 states/eV/cell


Record 8
## U2V (PBE-GGA)

Data for a relaxed U2V crystal.

Structure (extended XYZ):
```
3
Lattice="-0.471 -2.987 -1.645 1.523 -1.670 2.596 -4.629 1.827 1.609" Properties=species:S:1:pos:R:3 pbc="T T T"
U -0.926 -2.506 1.213
U -2.651 -0.324 1.347
V 0.000 0.000 0.000
```

* calculated formation energy: 0.137 eV per atom
* space-group type: I4/mmm
* DOS(E_F): 6.27 states/eV/cell


Record 9
## Na2TlTeO4 (PBE-GGA)

Data for a relaxed Na2TlTeO4 crystal.

Structure (extended XYZ):
```
16
Lattice="-4.262 0.366 -4.990 1.624 -6.168 -1.586 -2.587 1.406 7.173" Properties=species:S:1:pos:R:3 pbc="T T T"
Na -1.293 0.703 3.587
Na -1.319 -2.901 -3.288
Na -2.131 0.183 -2.495
Na -3.424 0.886 1.092
O -3.087 -1.172 -4.053
O -2.930 -3.153 -1.629
O -2.138 -3.224 4.650
O -1.120 -3.621 0.905
O -4.105 -0.774 -0.307
O -2.295 -1.242 2.226
O -2.615 0.129 5.413
O -2.610 -4.525 -4.816
Tl 0.812 -3.084 -0.793
Tl -4.743 -2.015 -2.196
Te -6.849 1.772 2.183
Te -2.612 -2.198 0.299
```

* space-group type: C2/c
* DOS(E_F): 2.64 states/eV/cell
* ΔE_f (raw): -0.99 eV/atom


Record 10
## SbTe2RhW (PBE-GGA)

Data for a relaxed SbTe2RhW crystal.

Structure (extended XYZ):
```
5
Lattice="5.203 0.000 0.000 0.000 5.203 0.000 0.000 0.000 5.227" Properties=species:S:1:pos:R:3 pbc="T T T"
Te 2.602 0.000 0.000
Te 0.000 2.602 0.000
W 0.000 0.000 0.000
Sb 0.000 0.000 2.614
Rh 2.602 2.602 2.614
```

* energy above the most stable polymorph in this dataset: 0 meV per atom
* space-group type: P4/mmm
* DOS(E_F): 4.82 states/eV/cell
* ΔE_f (raw): 1.11 eV/atom


Record 11
## CsTaRe2H (PBE-GGA)

Data for a relaxed CsTaRe2H crystal.

Structure (extended XYZ):
```
5
Lattice="-0.068 2.812 -2.798 -3.052 -3.035 -2.976 -3.222 1.593 1.680" Properties=species:S:1:pos:R:3 pbc="T T T"
Ta -3.171 0.685 -2.047
Re -0.034 1.406 -1.399
Re -1.611 0.797 0.840
H 0.000 0.000 0.000
Cs -1.526 -1.517 -1.488
```

* space-group type: P4/mmm
* DOS(E_F): 6.42 states/eV/cell
* electronic total energy: -6.2831 eV per atom


Record 12
## LaFeTc2 (PBE-GGA)

Data for a relaxed LaFeTc2 crystal.

Structure (extended XYZ):
```
4
Lattice="0.000 3.207 3.207 3.207 0.000 3.207 3.207 3.207 0.000" Properties=species:S:1:pos:R:3 pbc="T T T"
Tc 4.810 4.810 4.810
Tc 1.603 1.603 1.603
La 3.207 3.207 3.207
Fe 0.000 0.000 0.000
```

* calculated formation energy: 0.666 eV per atom
* energy above the most stable polymorph in this dataset: 466 meV per atom
* space-group type: Fm-3m
* DOS(E_F): 12.15 states/eV/cell


Record 13
## Ca2InCu (PBE-GGA)

Data for a relaxed Ca2InCu crystal.

Structure (extended XYZ):
```
4
Lattice="-1.451 -1.094 -5.969 2.119 -2.111 -5.476 -1.262 -4.969 -1.115" Properties=species:S:1:pos:R:3 pbc="T T T"
Ca -0.215 -2.099 -2.775
Ca -1.239 -4.951 -1.242
Cu -0.343 -4.138 -6.051
In -0.355 -6.041 -9.886
```

* calculated formation energy: -0.197 eV per atom
* space-group type: Cm
* DOS(E_F): 2.96 states/eV/cell


Record 14
## MgBe2Fe (PBE-GGA)

Data for a relaxed MgBe2Fe crystal.

Structure (extended XYZ):
```
4
Lattice="4.112 0.023 -0.141 3.305 2.446 -0.141 0.764 0.254 4.789" Properties=species:S:1:pos:R:3 pbc="T T T"
Be 0.792 0.264 4.428
Be 4.061 1.352 2.615
Mg 2.045 0.681 1.127
Fe 6.135 2.042 3.381
```

* calculated formation energy: 0.217 eV per atom
* space-group type: C2/m
* DOS(E_F): 1.88 states/eV/cell


Record 15
## Li3DyAu3 (PBE-GGA)

Data for a relaxed Li3DyAu3 crystal.

Structure (extended XYZ):
```
14
Lattice="-2.279 -6.469 -0.390 4.465 -5.222 0.014 0.383 -4.175 6.505" Properties=species:S:1:pos:R:3 pbc="T T T"
Li -1.062 -7.779 3.633
Li 0.318 -5.811 2.418
Li 0.011 -9.816 2.235
Li 2.251 -10.055 3.710
Li 2.558 -6.050 3.894
Li 3.632 -8.087 2.496
Au 2.739 -5.579 1.254
Au 3.826 -8.056 5.175
Au -0.110 -5.705 5.069
Au -1.257 -7.810 0.953
Au 2.680 -10.161 1.059
Au -0.170 -10.286 4.874
Dy 1.117 -8.068 6.278
Dy 1.452 -7.798 -0.149
```

* calculated formation energy: -0.506 eV per atom
* energy above the most stable polymorph in this dataset: 0 meV per atom
* space-group type: R-3
* DOS(E_F): 9.01 states/eV/cell


Record 16
## Sr2BiPd (PBE-GGA)

Data for a relaxed Sr2BiPd crystal.

Structure (extended XYZ):
```
8
Lattice="4.836 0.000 0.000 0.000 6.459 -0.077 0.000 -3.325 8.442" Properties=species:S:1:pos:R:3 pbc="T T T"
Bi 3.627 1.610 6.640
Bi 1.209 1.524 1.725
Sr 1.209 3.205 4.684
Sr 3.627 -1.559 7.721
Sr 3.627 -0.071 3.681
Sr 1.209 4.693 0.644
Pd 1.209 0.095 6.013
Pd 3.627 3.039 2.352
```

* calculated formation energy: -0.693 eV per atom
* space-group type: P2_1/m
* DOS(E_F): 6.63 states/eV/cell


Record 17
## K2RuPb (PBE-GGA)

Data for a relaxed K2RuPb crystal.

Structure (extended XYZ):
```
4
Lattice="-0.416 3.148 4.781 2.987 -2.423 1.855 3.036 2.623 -1.463" Properties=species:S:1:pos:R:3 pbc="T T T"
Pb 1.286 0.363 3.318
Ru 1.310 2.886 1.659
K 3.012 0.100 0.196
K 0.000 0.000 0.000
```

* calculated formation energy: 0.748 eV per atom
* space-group type: P4/mmm
* DOS(E_F): 4.02 states/eV/cell


Record 18
## La2Y3ThTe6 (PBE-GGA)

Data for a relaxed La2Y3ThTe6 crystal.

Structure (extended XYZ):
```
12
Lattice="-1.007 -2.353 -3.578 -6.227 -4.508 4.717 -4.134 8.942 -2.012" Properties=species:S:1:pos:R:3 pbc="T T T"
Y -6.738 -1.152 2.654
Y -4.631 3.234 -3.527
Y -3.617 -3.430 0.569
Te -4.692 -3.263 3.466
Te -8.861 0.948 1.871
Te -2.508 1.134 -2.744
Te -5.706 -1.272 -0.262
Te -5.663 3.354 -0.611
Te -6.677 5.344 -4.339
Th -0.504 -1.176 -1.789
La -3.525 1.058 0.297
La -7.844 1.024 -1.170
```

* space-group type: C2/m
* DOS(E_F): 8.16 states/eV/cell
* ΔE_f (raw): -1.35 eV/atom


Record 19
## Zr2CdAu (PBE-GGA)

Data for a relaxed Zr2CdAu crystal.

Structure (extended XYZ):
```
4
Lattice="3.542 0.000 0.000 0.000 3.542 0.000 0.000 0.000 6.729" Properties=species:S:1:pos:R:3 pbc="T T T"
Zr 1.771 1.771 1.825
Zr 0.000 0.000 6.675
Au 0.000 0.000 3.366
Cd 1.771 1.771 4.958
```

* calculated formation energy: -0.295 eV per atom
* space-group type: P4mm
* DOS(E_F): 1.28 states/eV/cell


Record 20
## RbV2Os (PBE-GGA)

Data for a relaxed RbV2Os crystal.

Structure (extended XYZ):
```
8
Lattice="-4.165 2.346 -2.947 0.166 -4.275 -3.638 -7.199 -4.813 0.993" Properties=species:S:1:pos:R:3 pbc="T T T"
V -6.941 -3.265 -0.815
V -5.424 0.315 -2.785
V -9.023 -2.092 -2.288
V -5.341 -1.823 -4.604
Os 0.000 0.000 0.000
Os -6.682 -1.716 -2.623
Rb -4.516 -5.027 -2.968
Rb -2.000 -0.965 -3.292
```

* calculated formation energy: 1.427 eV per atom
* energy above the most stable polymorph in this dataset: 0 meV per atom
* space-group type: I4_1/amd
* DOS(E_F): 10.92 states/eV/cell


Record 21
## NbAlTc2 (PBE-GGA)

Data for a relaxed NbAlTc2 crystal.

Structure (extended XYZ):
```
4
Lattice="-0.593 0.045 -3.145 2.329 -3.667 -0.492 -3.610 -2.380 0.647" Properties=species:S:1:pos:R:3 pbc="T T T"
Tc 1.165 -1.833 -0.246
Tc -1.805 -1.190 0.324
Nb -0.297 0.022 -1.573
Al -0.937 -3.001 -1.495
```

* calculated formation energy: -0.329 eV per atom
* space-group type: P4/mmm
* DOS(E_F): 4.89 states/eV/cell


Record 22
## Pa4Mn3Sb8 (PBE-GGA)

Data for a relaxed Pa4Mn3Sb8 crystal.

Structure (extended XYZ):
```
15
Lattice="4.397 0.000 0.000 0.000 4.397 0.000 0.000 0.000 18.081" Properties=species:S:1:pos:R:3 pbc="T T T"
Sb 0.000 2.199 7.637
Sb 2.199 0.000 10.444
Sb 2.199 2.199 13.616
Sb 2.199 2.199 4.465
Sb 0.000 2.199 16.784
Sb 0.000 0.000 4.474
Sb 0.000 0.000 13.607
Sb 2.199 0.000 1.297
Pa 2.199 0.000 16.083
Pa 0.000 2.199 1.998
Pa 0.000 2.199 11.035
Pa 2.199 0.000 7.045
Mn 0.000 0.000 0.000
Mn 0.000 0.000 9.040
Mn 2.199 2.199 9.040
```

* space-group type: P-4m2
* DOS(E_F): 17.17 states/eV/cell
* ΔE_f (raw): -0.37 eV/atom


Record 23
## Ba5NbN4F2 (PBE-GGA)

Data for a relaxed Ba5NbN4F2 crystal.

Structure (extended XYZ):
```
12
Lattice="-0.930 5.602 3.043 -3.882 -4.789 0.810 4.440 -2.569 6.087" Properties=species:S:1:pos:R:3 pbc="T T T"
Nb -0.378 2.276 1.236
Ba 1.839 1.014 4.292
Ba -2.185 0.352 4.081
Ba 2.008 -3.278 5.224
Ba -0.438 -1.862 1.871
Ba 0.261 -1.063 7.434
N 2.999 1.247 6.653
N 0.347 2.782 3.018
N -1.553 0.660 1.412
N -2.752 -2.902 0.782
F -0.783 1.482 6.402
F 0.064 -1.145 4.675
```

* space-group type: Amm2
* DOS(E_F): 1.33 states/eV/cell
* ΔE_f (raw): -1.48 eV/atom


Record 24
## ErAl8Co2 (PBE-GGA)

Data for a relaxed ErAl8Co2 crystal.

Structure (extended XYZ):
```
11
Lattice="5.615 0.000 0.000 0.000 5.615 0.000 0.000 0.000 7.614" Properties=species:S:1:pos:R:3 pbc="T T T"
Er 2.808 2.808 3.807
Al 1.401 1.401 1.362
Al 4.215 1.401 6.252
Al 1.401 4.215 6.252
Al 4.215 4.215 6.252
Al 4.215 1.401 1.362
Al 1.401 4.215 1.362
Al 1.401 1.401 6.252
Al 4.215 4.215 1.362
Co 2.808 0.000 0.000
Co 0.000 2.808 0.000
```

* calculated formation energy: 0.080 eV per atom
* space-group type: P4/mmm
* DOS(E_F): 8.90 states/eV/cell